Material: Tb2CdGa4Cu3
Method: DFT, PBE
State: relaxed

a b c (Å): 4.148 4.148 10.650
angles (deg): 90.00 90.00 90.00
Atoms (fractional coordinates):
Tb1 0.000 0.500 0.239
Tb2 0.500 0.000 0.761
Cd1 0.000 0.000 0.500
Ga1 0.000 0.000 0.000
Ga2 0.000 0.500 0.652
Ga3 0.500 0.000 0.348
Ga4 0.500 0.500 0.000
Cu1 0.000 0.500 0.873
Cu2 0.500 0.000 0.127
Cu3 0.500 0.500 0.500

Values from the calculation:
ΔE_f ... -39 kJ/mol of atoms
ρ ... 8.2 g/cm3

***

Material: Tb2CdGa3Cu4
Method: DFT, PBE
State: relaxed

a b c (Å): 4.157 4.157 10.450
angles (deg): 90.00 90.00 90.00
Atoms (fractional coordinates):
Tb1 0.000 0.500 0.234
Tb2 0.500 0.000 0.766
Cd1 0.000 0.000 0.500
Ga1 0.000 0.500 0.876
Ga2 0.500 0.000 0.124
Ga3 0.500 0.500 0.500
Cu1 0.000 0.000 0.000
Cu2 0.000 0.500 0.649
Cu3 0.500 0.000 0.351
Cu4 0.500 0.500 0.000

Values from the calculation:
ΔE_f ... -34 kJ/mol of atoms
ρ ... 8.2 g/cm3

***

Material: Cd2GaCuTe4
Method: DFT, PBE
State: relaxed

a b c (Å): 6.320 6.320 12.850
angles (deg): 90.00 90.00 90.00
Atoms (fractional coordinates):
Cd1 0.000 0.500 0.250
Cd2 0.000 0.500 0.750
Cd3 0.500 0.000 0.250
Cd4 0.500 0.000 0.750
Ga1 0.000 0.000 0.000
Ga2 0.500 0.500 0.500
Cu1 0.000 0.000 0.500
Cu2 0.500 0.500 0.000
Te1 0.245 0.245 0.387
Te2 0.245 0.755 0.613
Te3 0.255 0.255 0.887
Te4 0.255 0.745 0.113
Te5 0.745 0.255 0.113
Te6 0.745 0.745 0.887
Te7 0.755 0.245 0.613
Te8 0.755 0.755 0.387

Values from the calculation:
Formation energy (no corrections) ... -0.351 eV per atom
ρ ... 5.6 g/cm3

***

Material: ThCdGa2Cu2
Method: DFT, PBE
State: relaxed

a b c (Å): 4.293 4.293 7.075
angles (deg): 90.00 90.00 120.00
Atoms (fractional coordinates):
Th1 0.000 0.000 0.000
Cd1 0.000 0.000 0.500
Ga1 0.333 0.667 0.274
Ga2 0.667 0.333 0.726
Cu1 0.333 0.667 0.700
Cu2 0.667 0.333 0.300

Values from the calculation:
ΔE_f ... -28 kJ/mol of atoms
ρ ... 9.0 g/cm3

***

Material: Th2CdGa3Cu4
Method: DFT, PBE
State: relaxed

a b c (Å): 4.296 4.296 10.142
angles (deg): 90.00 90.00 90.00
Atoms (fractional coordinates):
Th1 0.000 0.500 0.232
Th2 0.500 0.000 0.768
Cd1 0.000 0.000 0.500
Ga1 0.000 0.500 0.877
Ga2 0.500 0.000 0.123
Ga3 0.500 0.500 0.500
Cu1 0.000 0.000 0.000
Cu2 0.000 0.500 0.643
Cu3 0.500 0.000 0.357
Cu4 0.500 0.500 0.000

Values from the calculation:
ΔE_f ... -32 kJ/mol of atoms
ρ ... 9.2 g/cm3

***

Material: TiCdGa2Cu
Method: DFT, PBE
State: relaxed

a b c (Å): 5.009 5.009 4.717
angles (deg): 90.00 90.00 90.00
Atoms (fractional coordinates):
Ti1 0.000 0.000 0.000
Cd1 0.500 0.500 0.500
Ga1 0.000 0.500 0.000
Ga2 0.500 0.000 0.000
Cu1 0.000 0.000 0.500

Values from the calculation:
ΔE_f ... 64 kJ/mol of atoms
ρ ... 5.1 g/cm3

***

Material: TlCd2GaCu
Method: DFT, PBE
State: relaxed

a b c (Å): 5.105 5.105 4.710
angles (deg): 90.00 90.00 90.00
Atoms (fractional coordinates):
Tl1 0.000 0.000 0.000
Cd1 0.000 0.500 0.500
Cd2 0.500 0.000 0.500
Ga1 0.500 0.500 0.000
Cu1 0.500 0.500 0.500

Values from the calculation:
ΔE_f ... 12 kJ/mol of atoms
ρ ... 7.6 g/cm3

***

Material: Tm2CdGa3Cu4
Method: DFT, PBE
State: relaxed

a b c (Å): 4.059 4.059 10.705
angles (deg): 90.00 90.00 90.00
Atoms (fractional coordinates):
Tm1 0.000 0.500 0.235
Tm2 0.500 0.000 0.765
Cd1 0.000 0.000 0.500
Ga1 0.000 0.500 0.873
Ga2 0.500 0.000 0.127
Ga3 0.500 0.500 0.500
Cu1 0.000 0.000 0.000
Cu2 0.000 0.500 0.653
Cu3 0.500 0.000 0.347
Cu4 0.500 0.500 0.000

Values from the calculation:
ΔE_f ... -32 kJ/mol of atoms
ρ ... 8.6 g/cm3